Here is NbAgSe4 after structural relaxation from Alexandria. Energies are from PBE-GGA.

ΔE_f (raw) ... -367 meV per atom
Space-group type ... No. 15

Cell lengths 7.2149, 7.2149, 6.5852 Å; angles 103.91, 103.91, 116.56 degrees
Fractional positions:
Nb 0.0005 0.9995 0.7500
Nb 0.9995 0.0005 0.2500
Ag 0.3708 0.6292 0.2500
Ag 0.6292 0.3708 0.7500
Se 0.0704 0.7400 0.9551
Se 0.2029 0.3578 0.6455
Se 0.2600 0.9296 0.5449
Se 0.3578 0.2029 0.1455
Se 0.6422 0.7971 0.8545
Se 0.7400 0.0704 0.4551
Se 0.7971 0.6422 0.3545
Se 0.9296 0.2600 0.0449


Here is Nb2AgSe6 after structural relaxation from Alexandria. Energies are from PBE-GGA.

ΔE_f (raw) ... -379 meV per atom
Space-group type ... No. 12

Cell lengths 6.6969, 6.6969, 8.6580 Å; angles 113.02, 113.02, 42.61 degrees
Fractional positions:
Nb 0.1866 0.1866 0.1465
Nb 0.8134 0.8134 0.8535
Ag 0.0000 0.0000 0.5000
Se 0.0100 0.0100 0.2020
Se 0.3150 0.3150 0.9572
Se 0.3419 0.3419 0.4235
Se 0.6581 0.6581 0.5765
Se 0.6850 0.6850 0.0428
Se 0.9900 0.9900 0.7980


Here is Nb2AgSe after structural relaxation from Alexandria. Energies are from PBE-GGA.

ΔE_f (raw) ... 379 meV per atom
Space-group type ... No. 122

Cell lengths 10.3383, 10.3383, 10.3383 Å; angles 158.08, 158.08, 31.20 degrees
Fractional positions:
Nb 0.1156 0.6250 0.9906
Nb 0.3750 0.3656 0.4906
Nb 0.6344 0.1250 0.0094
Nb 0.8750 0.8844 0.5094
Ag 0.2500 0.7500 0.5000
Ag 0.5000 0.5000 0.0000
Se 0.0000 0.0000 0.0000
Se 0.7500 0.2500 0.5000


Here is NbAg7Se6 after structural relaxation from Alexandria. Energies are from PBE-GGA.

ΔE_f (raw) ... -185 meV per atom
Space-group type ... No. 72

Cell lengths 11.6333, 11.6333, 11.6333 Å; angles 148.59, 125.75, 64.04 degrees
Fractional positions:
Nb 0.2500 0.2500 0.0000
Nb 0.7500 0.7500 0.0000
Ag 0.0121 0.9431 0.7375
Ag 0.0959 0.7980 0.8938
Ag 0.2056 0.2745 0.2625
Ag 0.2500 0.7500 0.5000
Ag 0.2944 0.5569 0.0690
Ag 0.4041 0.2980 0.7021
Ag 0.4879 0.2255 0.9310
Ag 0.5121 0.7745 0.0690
Ag 0.5959 0.7020 0.2979
Ag 0.7056 0.4431 0.9310
Ag 0.7500 0.2500 0.5000
Ag 0.7944 0.7255 0.7375
Ag 0.9041 0.2020 0.1062
Ag 0.9879 0.0569 0.2625
Se 0.0398 0.3959 0.0820
Se 0.1546 0.3682 0.5227
Se 0.1861 0.1041 0.6438
Se 0.3139 0.9577 0.9180
Se 0.3454 0.8682 0.2136
Se 0.4602 0.5423 0.3562
Se 0.5397 0.4577 0.6438
Se 0.6546 0.1318 0.7864
Se 0.6861 0.0423 0.0820
Se 0.8139 0.8959 0.3562
Se 0.8454 0.6318 0.4773
Se 0.9602 0.6041 0.9180


Here is NbAgSnSe2 after structural relaxation from Alexandria. Energies are from PBE-GGA.

ΔE_f (raw) ... 166 meV per atom
Space-group type ... No. 123

Cell lengths 4.9381, 4.9381, 5.7171 Å; angles 90.00, 90.00, 90.00 degrees
Fractional positions:
Nb 0.0000 0.0000 0.0000
Ag 0.5000 0.5000 0.5000
Sn 0.0000 0.0000 0.5000
Se 0.0000 0.5000 0.0000
Se 0.5000 0.0000 0.0000


Here is Nb2AgTeSe after structural relaxation from Alexandria. Energies are from PBE-GGA.

ΔE_f (raw) ... 1429 meV per atom
Space-group type ... No. 123

Cell lengths 5.1151, 5.1151, 5.3663 Å; angles 90.00, 90.00, 90.00 degrees
Fractional positions:
Nb 0.0000 0.5000 0.0000
Nb 0.5000 0.0000 0.0000
Ag 0.0000 0.0000 0.5000
Te 0.5000 0.5000 0.0000
Se 0.5000 0.5000 0.5000


Here is NbTlAg2Se4 after structural relaxation from Alexandria. Energies are from PBE-GGA.

ΔE_f (raw) ... -394 meV per atom
Space-group type ... No. 23

Cell lengths 6.7530, 6.7530, 6.7530 Å; angles 120.63, 106.98, 101.45 degrees
Fractional positions:
Nb 0.0000 0.0000 0.0000
Tl 0.5000 0.5000 0.0000
Ag 0.1700 0.6700 0.5000
Ag 0.8300 0.3300 0.5000
Se 0.0139 0.6384 0.9951
Se 0.3567 0.3616 0.3755
Se 0.6433 0.0188 0.0049
Se 0.9861 0.9812 0.6245


Here is Nb2Tl2AgSe6 after structural relaxation from Alexandria. Energies are from PBE-GGA.

ΔE_f (raw) ... -516 meV per atom
Space-group type ... No. 12

Cell lengths 6.6484, 6.6484, 7.7869 Å; angles 96.79, 96.79, 118.19 degrees
Fractional positions:
Nb 0.1420 0.8580 0.0000
Nb 0.8580 0.1420 0.0000
Tl 0.3300 0.6700 0.5000
Tl 0.6700 0.3300 0.5000
Ag 0.5000 0.5000 0.0000
Se 0.0923 0.4585 0.8186
Se 0.1529 0.1529 0.2460
Se 0.4585 0.0923 0.8186
Se 0.5415 0.9077 0.1814
Se 0.8471 0.8471 0.7540
Se 0.9077 0.5415 0.1814


Here is NbV2Ag2Se6 after structural relaxation from Alexandria. Energies are from PBE-GGA.

ΔE_f (raw) ... -522 meV per atom
Space-group type ... No. 12

Cell lengths 6.1234, 6.1234, 8.1884 Å; angles 97.11, 97.11, 122.19 degrees
Fractional positions:
Nb 0.0000 0.0000 0.0000
V 0.3730 0.6270 0.0000
V 0.6270 0.3730 0.0000
Ag 0.1953 0.8047 0.5000
Ag 0.8047 0.1953 0.5000
Se 0.0731 0.7135 0.1815
Se 0.2865 0.9269 0.8185
Se 0.4128 0.4128 0.2210
Se 0.5872 0.5872 0.7790
Se 0.7135 0.0731 0.1815
Se 0.9269 0.2865 0.8185


Here is Sm2NbAg after structural relaxation from Alexandria. Energies are from PBE-GGA.

DFT formation energy ... 50 kJ per mole of atoms
Space-group type ... No. 166

Cell lengths 11.4827, 11.4827, 11.4827 Å; angles 15.96, 15.96, 15.96 degrees
Fractional positions:
Sm 0.0878 0.0878 0.0878
Sm 0.9122 0.9122 0.9122
Nb 0.0000 0.0000 0.0000
Ag 0.5000 0.5000 0.5000


Here is NbAg3Sn after structural relaxation from Alexandria. Energies are from PBE-GGA.

DFT formation energy ... 110 kJ per mole of atoms
Energy above the most stable polymorph in this dataset ... 0.0000 eV per atom
Space-group type ... No. 221

Cell lengths 5.0990, 5.0990, 5.0990 Å; angles 90.00, 90.00, 90.00 degrees
Fractional positions:
Nb 0.0000 0.0000 0.0000
Ag 0.0000 0.5000 0.5000
Ag 0.5000 0.0000 0.5000
Ag 0.5000 0.5000 0.0000
Sn 0.5000 0.5000 0.5000


Here is Nb2AgSn2 after structural relaxation from Alexandria. Energies are from PBE-GGA.

DFT formation energy ... 14 kJ per mole of atoms
Energy above the most stable polymorph in this dataset ... 0.0000 eV per atom
Space-group type ... No. 127

Cell lengths 7.6203, 7.6203, 3.6622 Å; angles 90.00, 90.00, 90.00 degrees
Fractional positions:
Nb 0.1229 0.3771 0.0000
Nb 0.3771 0.8771 0.0000
Nb 0.6229 0.1229 0.0000
Nb 0.8771 0.6229 0.0000
Ag 0.0000 0.0000 0.0000
Ag 0.5000 0.5000 0.0000
Sn 0.1733 0.6733 0.5000
Sn 0.3267 0.1733 0.5000
Sn 0.6733 0.8267 0.5000
Sn 0.8267 0.3267 0.5000


| no. | total moment (μB/f.u.) | total energy (eV/atom) |
| --- | --- | --- |
| 1 | 0.0 | -4.84 |
| 2 | 0.0 | -5.26 |
| 3 | 0.0 | -6.24 |
| 4 | 0.0 | -3.82 |
| 5 | 0.0 | -4.61 |
| 6 | 0.0 | -4.49 |
| 7 | 0.0 | -4.40 |
| 8 | 0.7 | -4.94 |
| 9 | 0.0 | -5.51 |
| 10 | 0.8 | -5.07 |
| 11 | 3.7 | -3.38 |
| 12 | 0.0 | -6.06 |